[1]
First-principles (GGA-PBE) data for an optimized crystal structure of Cr3GaRh4, as listed in Alexandria via LeMat-Bulk.

The structure belongs to space group I4/mmm (No. 139); the cell edges are 3.856, 3.856 and 14.487 Å and the angles 90.00°, 90.00° and 90.00°. The distinct sites, in fractional coordinates, are Cr at (0.000, 0.000, 0.000), Cr at (0.000, 0.000, 0.253), Ga at (0.000, 0.000, 0.500) and Rh at (0.000, 0.500, 0.130).

The formation energy comes out at -0.199 eV/atom. The density of states at the Fermi level comes out at 13.68 states/eV/cell.


[2]
First-principles (GGA-PBE) data for an optimized crystal structure of CrGaRh2, as listed in Alexandria via LeMat-Bulk.

The structure belongs to space group P4/mmm (No. 123); the cell edges are 2.768, 2.768 and 7.055 Å and the angles 90.00°, 90.00° and 90.00°. The distinct sites, in fractional coordinates, are Cr at (0.000, 0.000, 0.000), Ga at (0.000, 0.000, 0.500) and Rh at (0.500, 0.500, 0.245).

The formation energy comes out at -0.331 eV/atom. The density of states at the Fermi level comes out at 2.80 states/eV/cell.


[3]
First-principles (GGA-PBE) data for an optimized crystal structure of ScCrGaRh, as listed in Alexandria via LeMat-Bulk.

The structure belongs to space group F-43m (No. 216); the cell edges are 6.271, 6.271 and 6.271 Å and the angles 90.00°, 90.00° and 90.00°. The distinct sites, in fractional coordinates, are Sc at (0.000, 0.000, 0.000), Cr at (0.250, 0.250, 0.750), Ga at (0.000, 0.000, 0.500) and Rh at (0.250, 0.250, 0.250).

The formation energy comes out at -0.511 eV/atom. The density of states at the Fermi level comes out at 1.84 states/eV/cell.


[4]
First-principles (GGA-PBE) data for an optimized crystal structure of CrGaTcRh, as listed in Alexandria via LeMat-Bulk.

The structure belongs to space group F-43m (No. 216); the cell edges are 6.037, 6.037 and 6.037 Å and the angles 90.00°, 90.00° and 90.00°. The distinct sites, in fractional coordinates, are Cr at (0.000, 0.000, 0.000), Ga at (0.000, 0.000, 0.500), Tc at (0.250, 0.250, 0.250) and Rh at (0.250, 0.250, 0.750).

The formation energy comes out at -0.217 eV/atom. The density of states at the Fermi level comes out at 17.34 states/eV/cell.


[5]
First-principles (GGA-PBE) data for an optimized crystal structure of YCrGa2Rh, as listed in Alexandria via LeMat-Bulk.

The structure belongs to space group P4/mmm (No. 123); the cell edges are 5.339, 5.339 and 4.813 Å and the angles 90.00°, 90.00° and 90.00°. The distinct sites, in fractional coordinates, are Y at (0.000, 0.000, 0.000), Cr at (0.500, 0.500, 0.500), Ga at (0.000, 0.500, 0.000) and Rh at (0.000, 0.000, 0.500).

The formation energy comes out at 1.580 eV/atom. The density of states at the Fermi level comes out at 7.07 states/eV/cell.


[6]
First-principles (GGA-PBE) data for an optimized crystal structure of ZnCrGaRh, as listed in Alexandria via LeMat-Bulk.

The structure belongs to space group F-43m (No. 216); the cell edges are 6.072, 6.072 and 6.072 Å and the angles 90.00°, 90.00° and 90.00°. The distinct sites, in fractional coordinates, are Zn at (0.000, 0.000, 0.000), Cr at (0.250, 0.250, 0.250), Ga at (0.000, 0.000, 0.500) and Rh at (0.250, 0.250, 0.750).

The formation energy comes out at -0.277 eV/atom. The density of states at the Fermi level comes out at 8.53 states/eV/cell.


[7]
First-principles (GGA-PBE) data for an optimized crystal structure of Cr2GaRu2, as listed in Alexandria via LeMat-Bulk.

The structure belongs to space group P4/mbm (No. 127); the cell edges are 7.169, 7.169 and 2.734 Å and the angles 90.00°, 90.00° and 90.00°. The distinct sites, in fractional coordinates, are Cr at (0.160, 0.340, 0.000), Ga at (0.000, 0.000, 0.500) and Ru at (0.133, 0.633, 0.500).

The formation energy comes out at 0.162 eV/atom. The density of states at the Fermi level comes out at 7.90 states/eV/cell. The calculation puts the distance to the lowest polymorph of the same formula at 0.0 meV/atom.


[8]
First-principles (GGA-PBE) data for an optimized crystal structure of Cr2GaRu, as listed in Alexandria via LeMat-Bulk.

The structure belongs to space group I-42d (No. 122); the cell edges are 6.806, 6.806 and 4.986 Å and the angles 90.00°, 90.00° and 90.00°. The distinct sites, in fractional coordinates, are Cr at (0.223, 0.750, 0.125), Ga at (0.000, 0.000, 0.500) and Ru at (0.000, 0.000, 0.000).

The formation energy comes out at 0.603 eV/atom. The density of states at the Fermi level comes out at 27.31 states/eV/cell.